# BaWNO2 | Alexandria | GGA-PBEsol | optimized geometry
data_BaWNO2
_space_group_name_H-M_alt 'P 4/m m m'
_space_group_IT_number 123
_space_group_name_Hall '-P 4 2'
_cell_length_a 4.036
_cell_length_b 4.036
_cell_length_c 4.017
_cell_angle_alpha 90.00
_cell_angle_beta 90.00
_cell_angle_gamma 90.00
loop_
_atom_site_label
_atom_site_type_symbol
_atom_site_fract_x
_atom_site_fract_y
_atom_site_fract_z
_atom_site_occupancy
Ba1 Ba 0.000 0.000 0.000 1
W1 W 0.500 0.500 0.500 1
N1 N 0.500 0.500 0.000 1
O1 O 0.000 0.500 0.500 1
# Energy relative to the elements, uncorrected = -9.76 eV per formula unit
# Total energy = -8.948 eV per atom

# BaNa2Li | Alexandria | GGA-PBEsol | optimized geometry
data_BaNa2Li
_space_group_name_H-M_alt 'F m -3 m'
_space_group_IT_number 225
_space_group_name_Hall '-F 4 2 3'
_cell_length_a 8.539
_cell_length_b 8.539
_cell_length_c 8.539
_cell_angle_alpha 90.00
_cell_angle_beta 90.00
_cell_angle_gamma 90.00
loop_
_atom_site_label
_atom_site_type_symbol
_atom_site_fract_x
_atom_site_fract_y
_atom_site_fract_z
_atom_site_occupancy
Ba1 Ba 0.000 0.000 0.000 1
Na1 Na 0.250 0.250 0.250 1
Li1 Li 0.000 0.000 0.500 1
# Total energy = -1.647 eV per atom
# ΔH_f (0 K) = 82.0 meV per atom

# SiSb2MoPb | Alexandria | GGA-PBEsol | optimized geometry
data_SiSb2MoPb
_space_group_name_H-M_alt 'P 4/m m m'
_space_group_IT_number 123
_space_group_name_Hall '-P 4 2'
_cell_length_a 5.256
_cell_length_b 5.256
_cell_length_c 4.645
_cell_angle_alpha 90.00
_cell_angle_beta 90.00
_cell_angle_gamma 90.00
loop_
_atom_site_label
_atom_site_type_symbol
_atom_site_fract_x
_atom_site_fract_y
_atom_site_fract_z
_atom_site_occupancy
Si1 Si 0.000 0.000 0.000 1
Sb1 Sb 0.000 0.500 0.000 1
Mo1 Mo 0.000 0.000 0.500 1
Pb1 Pb 0.500 0.500 0.500 1
# Energy relative to the elements, uncorrected = 4.30 eV per formula unit
# Total energy = -5.266 eV per atom